#w
Ga3W | PBE | relaxed

**Total moment**: 0.000 μB per formula unit
**Space group**: Pmm2

abc: 2.8092 4.7252 4.7948
angles: 90.00 90.00 90.00
Last column: nearest neighbours and their distance in Å.
Element x y z (fractional)
Ga: 0.0000 0.0000 0.0000  4 W 2.75-2.81, 8 Ga 2.81-2.89
Ga: 0.0000 0.5000 0.3210  8 Ga 2.75-2.82, 4 W 2.89
Ga: 0.5000 0.5000 0.8134  10 Ga 2.75-2.89, 2 W 2.78
W: 0.5000 0.0000 0.5069  10 Ga 2.75-2.89, 2 W 2.81



#x
Ga3W | PBE | relaxed

**Total moment**: 0.278 μB per formula unit
**Space group**: I4/mmm

abc: 5.0219 5.0219 5.0219
angles: 135.13 135.13 65.32
Last column: nearest neighbours and their distance in Å.
Element x y z (fractional)
Ga: 0.0000 0.0000 0.0000  4 W 2.71, 8 Ga 2.85
Ga: 0.2500 0.7500 0.5000  8 Ga 2.71-2.85, 4 W 2.85
Ga: 0.7500 0.2500 0.5000  8 Ga 2.71-2.85, 4 W 2.85
W: 0.5000 0.5000 0.0000  12 Ga 2.71-2.85



#y
Ga3W | PBE | relaxed

**Total moment**: 0.000 μB per formula unit
**Space group**: Imm2

abc: 5.3316 5.3316 5.3316
angles: 148.50 63.97 125.89
Last column: nearest neighbours and their distance in Å.
Element x y z (fractional)
Ga: 0.0000 0.0000 0.0000  8 Ga 2.72-2.89, 4 W 2.76-2.89
Ga: 0.4236 0.6657 0.7579  9 Ga 2.72-2.89, 3 W 2.77-2.80
Ga: 0.9078 0.6657 0.2421  9 Ga 2.72-2.89, 3 W 2.77-2.80
W: 0.4848 0.9848 0.5000  10 Ga 2.76-2.89, 2 W 2.89



Name the most stable of them. #w.



#w
YGa2W | PBE | relaxed

**Total moment**: 0.000 μB per formula unit
**Space group**: Fm-3m

abc: 4.7001 4.7001 4.7001
angles: 60.00 60.00 60.00
Last column: nearest neighbours and their distance in Å.
Element x y z (fractional)
Y: 0.0000 0.0000 0.0000  8 Ga 2.88
Ga: 0.2500 0.2500 0.2500  4 W 2.88, 4 Y 2.88
Ga: 0.7500 0.7500 0.7500  4 W 2.88, 4 Y 2.88
W: 0.5000 0.5000 0.5000  8 Ga 2.88



#x
YGa2W | PBE | relaxed

**Total moment**: 0.000 μB per formula unit
**Space group**: I-42d

abc: 9.7352 9.7352 9.7352
angles: 153.74 153.74 37.47
Last column: nearest neighbours and their distance in Å.
Element x y z (fractional)
Y: 0.0000 0.0000 0.0000  4 Ga 3.03, 4 W 3.13
Y: 0.7500 0.2500 0.5000  4 Ga 3.03, 4 W 3.13
Ga: 0.2420 0.6250 0.1170  2 Ga 2.50, 2 W 2.62
Ga: 0.3750 0.4920 0.6170  2 Ga 2.50, 2 W 2.62
Ga: 0.5080 0.1250 0.8830  2 Ga 2.50, 2 W 2.62
Ga: 0.8750 0.7580 0.3830  2 Ga 2.50, 2 W 2.62
W: 0.2500 0.7500 0.5000  4 Ga 2.62
W: 0.5000 0.5000 0.0000  4 Ga 2.62



Name the most stable of them. #w.



#w
YGa3W | PBE | relaxed

**Total moment**: 2.700 μB per formula unit
**Space group**: Pm-3m

abc: 5.2694 5.2694 5.2694
angles: 90.00 90.00 90.00
Last column: nearest neighbours and their distance in Å.
Element x y z (fractional)
Y: 0.0000 0.0000 0.0000  6 Ga 2.63
Ga: 0.0000 0.0000 0.5000  2 Y 2.63
Ga: 0.0000 0.5000 0.0000  2 Y 2.63
Ga: 0.5000 0.0000 0.0000  2 Y 2.63
W: 0.5000 0.5000 0.5000  12 Ga 3.73



#x
YGa3W | PBE | relaxed

**Total moment**: 0.000 μB per formula unit
**Space group**: Pm-3m

abc: 4.8588 4.8588 4.8588
angles: 90.00 90.00 90.00
Last column: nearest neighbours and their distance in Å.
Element x y z (fractional)
Y: 0.0000 0.0000 0.0000  12 Ga 3.44
Ga: 0.0000 0.5000 0.5000  2 W 2.43
Ga: 0.5000 0.0000 0.5000  2 W 2.43
Ga: 0.5000 0.5000 0.0000  2 W 2.43
W: 0.5000 0.5000 0.5000  6 Ga 2.43



Name the most stable of them. #x.